Compound: CdIn2GaHg2
Source: Alexandria via LeMat-Bulk
Functional: PBE-GGA
Structure: optimized geometry

Lattice parameters (Å, degrees): 4.8610 8.5010 7.3590 90.00 90.00 90.00
Atoms (fractional coordinates):
Cd  0.0000  0.2385  0.0000
Cd  0.0000  0.7615  0.5000
In  0.0000  0.4190  0.4121
In  0.0000  0.5810  0.9121
In  0.5000  0.3383  0.7114
In  0.5000  0.6617  0.2114
Ga  0.5000  0.0153  0.9213
Ga  0.5000  0.9847  0.4213
Hg  0.0000  0.0952  0.6197
Hg  0.0000  0.9048  0.1197
Hg  0.5000  0.2850  0.2305
Hg  0.5000  0.7150  0.7305

Values from the calculation:
**Energy of formation from the pure elements**: 0.3 eV per formula unit
**Space group**: Pmc2_1 (26)

***

Compound: Be2TcIr
Source: Alexandria via LeMat-Bulk
Functional: PBE-GGA
Structure: optimized geometry

Lattice parameters (Å, degrees): 3.7710 2.7714 8.4737 90.00 90.00 90.00
Atoms (fractional coordinates):
Be  0.0000  0.0000  0.0000
Be  0.0000  0.5000  0.5000
Be  0.5000  0.0000  0.1524
Be  0.5000  0.5000  0.6524
Tc  0.5000  0.0000  0.4248
Tc  0.5000  0.5000  0.9248
Ir  0.0000  0.0000  0.7220
Ir  0.0000  0.5000  0.2220

Values from the calculation:
**Energy of formation from the pure elements**: -1.3 eV per formula unit
**ΔE to the lowest computed polymorph**: 0.07 eV per formula unit
**Space group**: Amm2 (38)